# 1
NiPb4Se after structural relaxation. Source: the Alexandria database, functional PBE.

Summary:
The value obtained for the total magnetic moment is 0.1239 μB per atom. The calculation puts the uncorrected formation energy at 0.65 eV per atom. For the total DFT energy (no corrections), the calculation gives -20.22 eV for the cell shown. The volume is 29.98 A^3/atom. The calculation puts the density of states at the Fermi level at 8.4 states/eV per cell. The space-group type is No. 216.

a b c (Å): 6.336 6.336 6.336
angles (deg): 60.00 60.00 60.00
Atoms (fractional coordinates):
Ni1 0.000 0.000 0.000
Pb1 0.123 0.626 0.626
Pb2 0.626 0.123 0.626
Pb3 0.626 0.626 0.123
Pb4 0.626 0.626 0.626
Se1 0.250 0.250 0.250

# 2
Ni4PbSe after structural relaxation. Source: the Alexandria database, functional PBE.

Summary:
The value obtained for the total magnetic moment is 0.3292 μB per atom. The calculation puts the uncorrected formation energy at 0.29 eV per atom. For the total DFT energy (no corrections), the calculation gives -28.57 eV for the cell shown. The volume is 14.68 A^3/atom. The calculation puts the density of states at the Fermi level at 7.6 states/eV per cell. The space-group type is No. 216.

a b c (Å): 4.994 4.994 4.994
angles (deg): 60.00 60.00 60.00
Atoms (fractional coordinates):
Ni1 0.125 0.125 0.125
Ni2 0.125 0.125 0.624
Ni3 0.125 0.624 0.125
Ni4 0.624 0.125 0.125
Pb1 0.750 0.750 0.750
Se1 0.500 0.500 0.500

# 3
Ni2PbSe after structural relaxation. Source: the Alexandria database, functional PBE.

Summary:
The value obtained for the total magnetic moment is 0.0000 μB per atom. The calculation puts the uncorrected formation energy at -0.02 eV per atom. For the total DFT energy (no corrections), the calculation gives -18.83 eV for the cell shown. The volume is 19.59 A^3/atom. The calculation puts the density of states at the Fermi level at 4.7 states/eV per cell. Its energy above the most stable polymorph in this dataset is 0.0171 eV per atom. The space-group type is No. 160.

a b c (Å): 6.390 6.390 6.390
angles (deg): 35.43 35.43 35.43
Atoms (fractional coordinates):
Ni1 0.000 0.000 0.000
Ni2 0.286 0.286 0.286
Pb1 0.756 0.756 0.756
Se1 0.581 0.581 0.581

# 4
NiPbSe2 after structural relaxation. Source: the Alexandria database, functional PBE.

Summary:
The value obtained for the total magnetic moment is 0.0000 μB per atom. The calculation puts the uncorrected formation energy at 0.08 eV per atom. For the total DFT energy (no corrections), the calculation gives -16.13 eV for the cell shown. The volume is 22.92 A^3/atom. The calculation puts the density of states at the Fermi level at 1.5 states/eV per cell. The space-group type is No. 99.

a b c (Å): 3.123 3.123 9.401
angles (deg): 90.00 90.00 90.00
Atoms (fractional coordinates):
Ni1 0.000 0.000 0.000
Pb1 0.500 0.500 0.244
Se1 0.000 0.000 0.529
Se2 0.500 0.500 0.896

# 5
Ni2PbSe after structural relaxation. Source: the Alexandria database, functional PBE.

Summary:
The value obtained for the total magnetic moment is 0.0000 μB per atom. The calculation puts the uncorrected formation energy at 0.20 eV per atom. For the total DFT energy (no corrections), the calculation gives -17.97 eV for the cell shown. The volume is 18.23 A^3/atom. The calculation puts the density of states at the Fermi level at 2.3 states/eV per cell. Its energy above the most stable polymorph in this dataset is 0.2329 eV per atom. The space-group type is No. 71.

a b c (Å): 4.768 4.768 4.768
angles (deg): 130.97 109.79 90.33
Atoms (fractional coordinates):
Ni1 0.187 0.187 0.000
Ni2 0.813 0.813 0.000
Pb1 0.500 0.000 0.500
Se1 0.000 0.500 0.500

# 6
NiPbSe2 after structural relaxation. Source: the Alexandria database, functional PBE.

Summary:
The value obtained for the total magnetic moment is 0.0000 μB per atom. The calculation puts the uncorrected formation energy at -0.26 eV per atom. For the total DFT energy (no corrections), the calculation gives -17.48 eV for the cell shown. The volume is 21.50 A^3/atom. The calculation puts the density of states at the Fermi level at 2.2 states/eV per cell. The space-group type is No. 160.

a b c (Å): 7.595 7.595 7.595
angles (deg): 28.13 28.13 28.13
Atoms (fractional coordinates):
Ni1 0.000 0.000 0.000
Pb1 0.835 0.835 0.835
Se1 0.391 0.391 0.391
Se2 0.611 0.611 0.611

# 7
Ni2PbSe after structural relaxation. Source: the Alexandria database, functional PBE.

Summary:
The value obtained for the total magnetic moment is 0.0000 μB per atom. The calculation puts the uncorrected formation energy at -0.04 eV per atom. For the total DFT energy (no corrections), the calculation gives -18.90 eV for the cell shown. The volume is 19.59 A^3/atom. The calculation puts the density of states at the Fermi level at 3.2 states/eV per cell. Its energy above the most stable polymorph in this dataset is 0.0000 eV per atom. The space-group type is No. 8.

a b c (Å): 4.225 4.225 6.090
angles (deg): 101.91 101.91 47.70
Atoms (fractional coordinates):
Ni1 0.000 0.000 0.000
Ni2 0.732 0.732 0.157
Pb1 0.490 0.490 0.414
Se1 0.281 0.281 0.900

# 8
NiPbSe2 after structural relaxation. Source: the Alexandria database, functional PBE.

Summary:
The value obtained for the total magnetic moment is 0.0000 μB per atom. The calculation puts the uncorrected formation energy at -0.22 eV per atom. For the total DFT energy (no corrections), the calculation gives -17.34 eV for the cell shown. The volume is 23.85 A^3/atom. The calculation puts the density of states at the Fermi level at 1.9 states/eV per cell. The space-group type is No. 10.

a b c (Å): 4.208 3.503 6.627
angles (deg): 90.00 102.39 90.00
Atoms (fractional coordinates):
Ni1 0.000 0.000 0.000
Pb1 0.500 0.000 0.500
Se1 0.069 0.500 0.779
Se2 0.931 0.500 0.221